No. 1
Compound: Y2Ga3GeIr4
Source: Alexandria
Functional: PBE-GGA
Structure: relaxed

The magnetic moment comes out at 0.00 μB/atom. The density of states at the Fermi level comes out at 0.57 states/eV per atom. As for the formation energy: -7.1 eV/f.u. The total energy is -0.508 Ry/atom.

The structure belongs to space group P-4m2 (No. 115); the cell edges are 4.286, 4.286 and 10.021 Å and the angles 90.00°, 90.00° and 90.00°. The asymmetric unit holds Y at (0.000, 0.500, 0.235), Ga at (0.000, 0.500, 0.872), Ga at (0.500, 0.500, 0.500), Ge at (0.000, 0.000, 0.500), Ir at (0.000, 0.000, 0.000), Ir at (0.000, 0.500, 0.627) and Ir at (0.500, 0.500, 0.000).

No. 2
Compound: Y2GaGe3Ir4
Source: Alexandria
Functional: PBE-GGA
Structure: relaxed

The magnetic moment comes out at 0.00 μB/atom. The density of states at the Fermi level comes out at 0.63 states/eV per atom. As for the formation energy: -7.7 eV/f.u. The total energy is -0.536 Ry/atom.

The structure belongs to space group P-4m2 (No. 115); the cell edges are 4.199, 4.199 and 10.289 Å and the angles 90.00°, 90.00° and 90.00°. The asymmetric unit holds Y at (0.000, 0.500, 0.250), Ga at (0.000, 0.000, 0.500), Ge at (0.000, 0.500, 0.868), Ge at (0.500, 0.500, 0.500), Ir at (0.000, 0.000, 0.000), Ir at (0.000, 0.500, 0.633) and Ir at (0.500, 0.500, 0.000).

No. 3
Compound: KGa3Ge
Source: Alexandria
Functional: PBE-GGA
Structure: relaxed

The magnetic moment comes out at 0.00 μB/atom. The density of states at the Fermi level comes out at 0.53 states/eV per atom. As for the formation energy: 6.0 eV/f.u. The value obtained for the energy above the most stable polymorph in this dataset is 1192 meV/atom. The total energy is -0.130 Ry/atom.

The structure belongs to space group Pm-3m (No. 221); the cell edges are 5.578, 5.578 and 5.578 Å and the angles 90.00°, 90.00° and 90.00°. The asymmetric unit holds K at (0.000, 0.000, 0.000), Ga at (0.000, 0.000, 0.500) and Ge at (0.500, 0.500, 0.500).

No. 4
Compound: K2GaGe2
Source: Alexandria
Functional: PBE-GGA
Structure: relaxed

The magnetic moment comes out at 0.00 μB/atom. The density of states at the Fermi level comes out at 0.42 states/eV per atom. As for the formation energy: -0.5 eV/f.u. The value obtained for the energy above the most stable polymorph in this dataset is 0 meV/atom. The total energy is -0.220 Ry/atom.

The structure belongs to space group C2/m (No. 12); the cell edges are 11.566, 4.936 and 11.168 Å and the angles 90.00°, 118.94° and 90.00°. The asymmetric unit holds K at (0.088, 0.000, 0.384), K at (0.174, 0.500, 0.191), Ga at (0.146, 0.500, 0.857), Ge at (0.097, 0.000, 0.959) and Ge at (0.108, 0.500, 0.600).

No. 5
Compound: K2Ga2Ge
Source: Alexandria
Functional: PBE-GGA
Structure: relaxed

The magnetic moment comes out at 0.00 μB/atom. The density of states at the Fermi level comes out at 0.32 states/eV per atom. As for the formation energy: -0.4 eV/f.u. The value obtained for the energy above the most stable polymorph in this dataset is 0 meV/atom. The total energy is -0.194 Ry/atom.

The structure belongs to space group C2/c (No. 15); the cell edges are 10.728, 7.050 and 8.405 Å and the angles 90.00°, 96.49° and 90.00°. The asymmetric unit holds K at (0.167, 0.098, 0.170), Ga at (0.100, 0.342, 0.502) and Ge at (0.000, 0.461, 0.750).

No. 6
Compound: KGa3Ge
Source: Alexandria
Functional: PBE-GGA
Structure: relaxed

The magnetic moment comes out at 0.00 μB/atom. The density of states at the Fermi level comes out at 0.66 states/eV per atom. As for the formation energy: 1.1 eV/f.u. The value obtained for the energy above the most stable polymorph in this dataset is 220 meV/atom. The total energy is -0.201 Ry/atom.

The structure belongs to space group Pm-3m (No. 221); the cell edges are 5.281, 5.281 and 5.281 Å and the angles 90.00°, 90.00° and 90.00°. The asymmetric unit holds K at (0.000, 0.000, 0.000), Ga at (0.000, 0.500, 0.500) and Ge at (0.500, 0.500, 0.500).

No. 7
Compound: K2GaGe
Source: Alexandria
Functional: PBE-GGA
Structure: relaxed

The magnetic moment comes out at 0.00 μB/atom. The density of states at the Fermi level comes out at 0.48 states/eV per atom. As for the formation energy: -0.4 eV/f.u. The value obtained for the energy above the most stable polymorph in this dataset is 53 meV/atom. The total energy is -0.187 Ry/atom.

The structure belongs to space group Cmcm (No. 63); the cell edges are 10.690, 8.221 and 5.905 Å and the angles 90.00°, 90.00° and 90.00°. The asymmetric unit holds K at (0.170, 0.150, 0.250), Ga at (0.000, 0.500, 0.000) and Ge at (0.000, 0.251, 0.750).

No. 8
Compound: K2GaGe2
Source: Alexandria
Functional: PBE-GGA
Structure: relaxed

The magnetic moment comes out at 0.00 μB/atom. The density of states at the Fermi level comes out at 0.46 states/eV per atom. As for the formation energy: 1.0 eV/f.u. The value obtained for the energy above the most stable polymorph in this dataset is 302 meV/atom. The total energy is -0.197 Ry/atom.

The structure belongs to space group P4/mbm (No. 127); the cell edges are 9.553, 9.553 and 3.357 Å and the angles 90.00°, 90.00° and 90.00°. The asymmetric unit holds K at (0.204, 0.296, 0.000), Ga at (0.000, 0.000, 0.500) and Ge at (0.089, 0.589, 0.500).

No. 9
Compound: KGa2Ge
Source: Alexandria
Functional: PBE-GGA
Structure: relaxed

The magnetic moment comes out at 0.00 μB/atom. The density of states at the Fermi level comes out at 0.60 states/eV per atom. As for the formation energy: 0.4 eV/f.u. The total energy is -0.208 Ry/atom.

The structure belongs to space group I-42d (No. 122); the cell edges are 8.205, 8.205 and 6.509 Å and the angles 90.00°, 90.00° and 90.00°. The asymmetric unit holds K at (0.000, 0.000, 0.000), Ga at (0.170, 0.750, 0.625) and Ge at (0.000, 0.000, 0.500).

No. 10
Compound: K2GaGe3
Source: Alexandria
Functional: PBE-GGA
Structure: relaxed

The magnetic moment comes out at 0.00 μB/atom. The density of states at the Fermi level comes out at 0.57 states/eV per atom. As for the formation energy: 0.9 eV/f.u. The value obtained for the energy above the most stable polymorph in this dataset is 272 meV/atom. The total energy is -0.223 Ry/atom.

The structure belongs to space group P-3m1 (No. 164); the cell edges are 6.9463, 6.9463 and 9.3530 Å and the angles 90.00°, 90.00° and 120.00°. The asymmetric unit holds K at (0.0000, 0.0000, 0.0000), K at (0.0000, 0.0000, 0.5000), K at (0.3333, 0.6667, 0.1365), Ga at (0.3333, 0.6667, 0.4809) and Ge at (0.2128, 0.4255, 0.7629).

No. 11
Compound: KGa2Ge
Source: Alexandria
Functional: PBE-GGA
Structure: relaxed

The magnetic moment comes out at 0.00 μB/atom. The density of states at the Fermi level comes out at 0.54 states/eV per atom. As for the formation energy: 0.6 eV/f.u. The total energy is -0.206 Ry/atom.

The structure belongs to space group R-3m (No. 166, hexagonal axes); the cell edges are 4.2245, 4.2245 and 26.3127 Å and the angles 90.00°, 90.00° and 120.00°. The asymmetric unit holds K at (0.0000, 0.0000, 0.0000), Ga at (0.0000, 0.0000, 0.1258) and Ge at (0.0000, 0.0000, 0.5000).

No. 12
Compound: K2Ga2Ge
Source: Alexandria
Functional: PBE-GGA
Structure: relaxed

The magnetic moment comes out at 0.00 μB/atom. The density of states at the Fermi level comes out at 0.61 states/eV per atom. As for the formation energy: 2.0 eV/f.u. The value obtained for the energy above the most stable polymorph in this dataset is 473 meV/atom. The total energy is -0.160 Ry/atom.

The structure belongs to space group I4/mmm (No. 139); the cell edges are 4.436, 4.436 and 14.843 Å and the angles 90.00°, 90.00° and 90.00°. The asymmetric unit holds K at (0.000, 0.500, 0.250), Ga at (0.000, 0.000, 0.083) and Ge at (0.000, 0.000, 0.500).